Record 1
DFT (PBE) results for PmPaTcSn after structural relaxation.

Results
ΔE_f, eV/atom: 0.0352

```
data_PmPaTcSn
_cell_length_a 7.2749
_cell_length_b 7.2749
_cell_length_c 7.2749
_cell_angle_alpha 90.00
_cell_angle_beta 90.00
_cell_angle_gamma 90.00
_symmetry_space_group_name_H-M 'F -4 3 m'
_symmetry_Int_Tables_number 216
_symmetry_space_group_name_Hall 'F -4 2 3'
loop_
_atom_site_label
_atom_site_fract_x
_atom_site_fract_y
_atom_site_fract_z
_atom_site_occupancy
Pm1 0.0000 0.0000 0.0000 1
Pa1 0.0000 0.0000 0.5000 1
Tc1 0.2500 0.2500 0.7500 1
Sn1 0.2500 0.2500 0.2500 1
```


Record 2
DFT (PBE) results for PmPaSnTe after structural relaxation.

Results
Raw formation energy, kcal/mol of atoms: -13.45

```
data_PmPaSnTe
_cell_length_a 7.6008
_cell_length_b 7.6008
_cell_length_c 7.6008
_cell_angle_alpha 90.00
_cell_angle_beta 90.00
_cell_angle_gamma 90.00
_symmetry_space_group_name_H-M 'F -4 3 m'
_symmetry_Int_Tables_number 216
_symmetry_space_group_name_Hall 'F -4 2 3'
loop_
_atom_site_label
_atom_site_fract_x
_atom_site_fract_y
_atom_site_fract_z
_atom_site_occupancy
Pm1 0.0000 0.0000 0.0000 1
Pa1 0.0000 0.0000 0.5000 1
Sn1 0.2500 0.2500 0.2500 1
Te1 0.2500 0.2500 0.7500 1
```


M_tot list, top to bottom, in μB/f.u.: 0.0, 1.5
DOS at the Fermi energy list, top to bottom, in states/eV/cell: 24.0, 19.2
E_tot list, top to bottom, in eV per atom: -7.119, -5.931